The following is a PBE calculation of a relaxed structure of Ce3Ru, from the Alexandria database.

The structure in POSCAR format:
```
Ce3Ru
1.0
-3.175 -1.377 -0.572
0.456 -2.048 2.398
-3.570 5.869 5.690
Ce Ru
3 1
direct
0.500 0.000 0.763
0.000 0.500 0.433
0.500 0.500 0.176
0.000 0.000 0.960
```

Results
- SG = Pmm2 (25)
- ΔE_f (eV per atom) = 0.029
- VASP energy (eV per atom) = -6.7404
- total moment (Bohr magnetons per cell) = 0.16